Record 1
# Li2CoCuF6, optimized geometry, DFT PBE+U
data_Li2CoCuF6
_chemical_formula_sum 'Li4 Co2 Cu2 F12'
_space_group_name_H-M_alt 'P 1'
_space_group_IT_number 1
_cell_length_a 5.111
_cell_length_b 5.214
_cell_length_c 8.099
_cell_angle_alpha 90.00
_cell_angle_beta 88.23
_cell_angle_gamma 90.00
loop_
_space_group_symop_operation_xyz
'x,y,z'
loop_
_atom_site_label
_atom_site_type_symbol
_atom_site_fract_x
_atom_site_fract_y
_atom_site_fract_z
Cu1 Cu 0.000 0.500 0.000
Cu2 Cu 0.500 0.000 0.500
Li1 Li 0.990 0.032 0.764
F1 F 0.857 0.385 0.723
F2 F 0.819 0.172 0.407
F3 F 0.659 0.680 0.441
Co1 Co 0.000 0.500 0.500
Li2 Li 0.010 0.968 0.236
F4 F 0.143 0.615 0.277
F5 F 0.319 0.328 0.907
F6 F 0.643 0.885 0.777
F7 F 0.341 0.320 0.559
F8 F 0.357 0.115 0.223
Li3 Li 0.490 0.468 0.264
F9 F 0.841 0.180 0.059
Li4 Li 0.510 0.532 0.736
F10 F 0.159 0.820 0.941
F11 F 0.181 0.828 0.593
Co2 Co 0.500 0.000 0.000
F12 F 0.681 0.672 0.093
# V (Å³ per cell): 216
# Space-group type: No. 14
# Calculated total energy (eV per atom): -4.6731

---

Record 2
# LiCoCu2F8, optimized geometry, DFT PBE+U
data_LiCoCu2F8
_chemical_formula_sum 'Li1 Co1 Cu2 F8'
_space_group_name_H-M_alt 'P 1'
_space_group_IT_number 1
_cell_length_a 5.766
_cell_length_b 5.766
_cell_length_c 5.766
_cell_angle_alpha 110.85
_cell_angle_beta 110.85
_cell_angle_gamma 106.75
loop_
_space_group_symop_operation_xyz
'x,y,z'
loop_
_atom_site_label
_atom_site_type_symbol
_atom_site_fract_x
_atom_site_fract_y
_atom_site_fract_z
F1 F 0.956 0.266 0.310
F2 F 0.491 0.695 0.796
Co1 Co 0.250 0.750 0.500
F3 F 0.956 0.645 0.690
F4 F 0.899 0.695 0.204
F5 F 0.305 0.509 0.204
Cu1 Cu 0.750 0.250 0.500
Li1 Li 0.000 0.000 0.000
F6 F 0.355 0.044 0.310
F7 F 0.305 0.101 0.796
F8 F 0.734 0.044 0.690
Cu2 Cu 0.500 0.500 0.000
# V (Å³ per cell): 147
# Space-group type: No. 119
# Calculated total energy (eV per atom): -4.2186

---

Record 3
# CoCuNF2, optimized geometry, DFT PBE+U
data_CoCuNF2
_chemical_formula_sum 'Co1 Cu1 N1 F2'
_space_group_name_H-M_alt 'P 1'
_space_group_IT_number 1
_cell_length_a 3.778
_cell_length_b 3.778
_cell_length_c 4.024
_cell_angle_alpha 90.00
_cell_angle_beta 90.00
_cell_angle_gamma 90.00
loop_
_space_group_symop_operation_xyz
'x,y,z'
loop_
_atom_site_label
_atom_site_type_symbol
_atom_site_fract_x
_atom_site_fract_y
_atom_site_fract_z
F1 F 0.000 0.500 0.000
N1 N 0.000 0.000 0.500
Cu1 Cu 0.000 0.000 0.000
F2 F 0.500 0.000 0.000
Co1 Co 0.500 0.500 0.500
# V (Å³ per cell): 57
# Space-group type: No. 123
# Calculated total energy (eV per atom): -4.2334

---

Record 4
# CoCuNF2, optimized geometry, DFT PBE+U
data_CoCuNF2
_chemical_formula_sum 'Co1 Cu1 N1 F2'
_space_group_name_H-M_alt 'P 1'
_space_group_IT_number 1
_cell_length_a 4.052
_cell_length_b 4.052
_cell_length_c 3.466
_cell_angle_alpha 90.00
_cell_angle_beta 90.00
_cell_angle_gamma 90.00
loop_
_space_group_symop_operation_xyz
'x,y,z'
loop_
_atom_site_label
_atom_site_type_symbol
_atom_site_fract_x
_atom_site_fract_y
_atom_site_fract_z
N1 N 0.000 0.000 0.500
F1 F 0.000 0.500 0.000
F2 F 0.500 0.000 0.000
Co1 Co 0.000 0.000 0.000
Cu1 Cu 0.500 0.500 0.500
# V (Å³ per cell): 57
# Space-group type: No. 123
# Calculated total energy (eV per atom): -4.4659

---

Record 5
# NaCoCuF6, optimized geometry, DFT PBE+U
data_NaCoCuF6
_chemical_formula_sum 'Na1 Co1 Cu1 F6'
_space_group_name_H-M_alt 'P 1'
_space_group_IT_number 1
_cell_length_a 4.912
_cell_length_b 5.181
_cell_length_c 5.181
_cell_angle_alpha 120.00
_cell_angle_beta 90.00
_cell_angle_gamma 90.00
loop_
_space_group_symop_operation_xyz
'x,y,z'
loop_
_atom_site_label
_atom_site_type_symbol
_atom_site_fract_x
_atom_site_fract_y
_atom_site_fract_z
F1 F 0.712 0.359 0.042
F2 F 0.288 0.958 0.641
F3 F 0.288 0.359 0.317
Cu1 Cu 0.500 0.000 0.000
F4 F 0.712 0.958 0.317
F5 F 0.288 0.683 0.042
Na1 Na 0.000 0.333 0.667
Co1 Co 0.500 0.667 0.333
F6 F 0.712 0.683 0.641
# V (Å³ per cell): 114
# Space-group type: No. 149
# Calculated total energy (eV per atom): -4.3555

---

Record 6
# CoCuNiF6, optimized geometry, DFT PBE+U
data_CoCuNiF6
_chemical_formula_sum 'Co2 Cu2 Ni2 F12'
_space_group_name_H-M_alt 'P 1'
_space_group_IT_number 1
_cell_length_a 5.185
_cell_length_b 5.185
_cell_length_c 8.917
_cell_angle_alpha 90.00
_cell_angle_beta 90.00
_cell_angle_gamma 120.00
loop_
_space_group_symop_operation_xyz
'x,y,z'
loop_
_atom_site_label
_atom_site_type_symbol
_atom_site_fract_x
_atom_site_fract_y
_atom_site_fract_z
Ni1 Ni 0.333 0.667 0.750
Cu1 Cu 0.000 0.000 0.500
Ni2 Ni 0.667 0.333 0.250
Co1 Co 0.333 0.667 0.250
F1 F 0.664 0.002 0.372
F2 F 0.338 0.336 0.372
F3 F 0.336 0.338 0.872
F4 F 0.002 0.338 0.628
F5 F 0.664 0.662 0.128
F6 F 0.998 0.662 0.372
F7 F 0.998 0.336 0.128
Cu2 Cu 0.000 0.000 0.000
F8 F 0.336 0.998 0.628
F9 F 0.002 0.664 0.872
F10 F 0.662 0.998 0.872
F11 F 0.662 0.664 0.628
F12 F 0.338 0.002 0.128
Co2 Co 0.667 0.333 0.750
# V (Å³ per cell): 208
# Space-group type: No. 163
# Calculated total energy (eV per atom): -4.4379

---

Total moment / Bohr magnetons per cell: 8.02, 6.00, 2.26, 1.25, 1.00, 12.00